Compound: TcAu
Source: Alexandria
Functional: PBE
Structure: relaxed

ΔH_f (0 K) ... 0.28 eV per formula unit
Relative energy among the computed polymorphs ... 58 meV/atom
Density of states at the Fermi level ... 0.741 states/eV/atom
Calculated density ... 14.92 g/cm³

a = 2.8310 Å, b = 2.8310 Å, c = 8.1924 Å
α = 90.00°, β = 90.00°, γ = 90.00°
Last column: nearest neighbours and their distance in Å.
Space group P4/nmm (No. 129, origin choice 2)
One atom of each set of equivalent atoms:
Tc1 0.2500 0.2500 0.1002 (multiplicity 2)  8 Tc 2.59-2.83
Au1 0.2500 0.2500 0.6381 (multiplicity 2)  8 Au 2.83-3.02, 4 Tc 2.93

Compound: NbTlSe2
Source: Alexandria
Functional: PBE
Structure: relaxed

Density of states at the Fermi level ... 0.826 states/eV/atom
Calculated density ... 7.40 g/cm³
Formation energy (no corrections) ... -0.19 eV per atom

a = 5.7708 Å, b = 5.7708 Å, c = 12.2763 Å
α = 90.00°, β = 90.00°, γ = 90.00°
Last column: nearest neighbours and their distance in Å.
Space group I4_1/amd (No. 141, origin choice 2)
One atom of each set of equivalent atoms:
Nb1 0.0000 0.2500 0.3750 (multiplicity 4)  6 Se 2.65-2.91
Tl1 0.0000 0.2500 0.8750 (multiplicity 4)  4 Se 2.91
Se1 0.0000 0.2500 0.1587 (multiplicity 8)  3 Nb 2.65-2.91, 2 Tl 2.91

Compound: YZn4Rh
Source: Alexandria
Functional: PBE
Structure: relaxed

ΔH_f (0 K) ... -2.79 eV per formula unit
Calculated density ... 7.87 g/cm³

a = 7.2608 Å, b = 7.2608 Å, c = 7.2608 Å
α = 90.00°, β = 90.00°, γ = 90.00°
Last column: nearest neighbours and their distance in Å.
Space group F-43m (No. 216)
One atom of each set of equivalent atoms:
Y1 0.0000 0.0000 0.0000 (multiplicity 4)  12 Zn 3.01, 4 Rh 3.14
Zn1 0.1237 0.1237 0.3763 (multiplicity 16)  6 Zn 2.54-2.59
Rh1 0.2500 0.2500 0.7500 (multiplicity 4)  12 Zn 3.01, 4 Y 3.14

Number 1: total DFT energy (no corrections) -26.73 eV/cell, V 65.7 Å³/cell. Number 2: total DFT energy (no corrections) -80.68 eV/cell, V 408.8 Å³/cell. Number 3: total DFT energy (no corrections) -86.80 eV/cell, V 382.8 Å³/cell.